This record from the Alexandria database describes CuSnSe after structural relaxation. The functional is GGA-PBE. Values from VASP.

crystal system = trigonal
energy relative to the elements, uncorrected = -0.45 eV per formula unit
mass density = 6.84 g/cm³

Structure (Quantum ESPRESSO input):
```
&SYSTEM
  ibrav = 0, nat = 3, ntyp = 3
/
ATOMIC_SPECIES
Sn 118.71 Sn.upf
Cu 63.55 Cu.upf
Se 78.96 Se.upf
ATOMIC_POSITIONS crystal
Sn 0.624 0.667 0.333
Cu 0.298 0.333 0.667
Se 0.077 0.000 0.000
CELL_PARAMETERS angstrom
-3.479 0.786 3.265
0.771 -3.439 1.650
1.858 3.198 1.210
```

---

This record from the Alexandria database describes CaYSi2 after structural relaxation. The functional is GGA-PBE. Values from VASP.

crystal system = tetragonal
energy relative to the elements, uncorrected = -1.54 eV per formula unit
mass density = 3.51 g/cm³
ΔE to the lowest computed polymorph = 275 meV/atom

Structure (Quantum ESPRESSO input):
```
&SYSTEM
  ibrav = 0, nat = 4, ntyp = 3
/
ATOMIC_SPECIES
Y 88.91 Y.upf
Si 28.09 Si.upf
Ca 40.08 Ca.upf
ATOMIC_POSITIONS crystal
Y 0.500 0.500 0.250
Si 0.000 0.000 0.494
Si 0.000 0.000 0.006
Ca 0.500 0.500 0.750
CELL_PARAMETERS angstrom
-3.078 0.955 0.470
-0.651 -0.552 -3.143
-2.136 -7.775 1.808
```

---

This record from the Alexandria database describes AlAg3S3 after structural relaxation. The functional is GGA-PBE. Values from VASP.

crystal system = monoclinic
energy relative to the elements, uncorrected = -2.84 eV per formula unit
mass density = 5.08 g/cm³

Structure (Quantum ESPRESSO input):
```
&SYSTEM
  ibrav = 0, nat = 28, ntyp = 3
/
ATOMIC_SPECIES
Ag 107.87 Ag.upf
S 32.06 S.upf
Al 26.98 Al.upf
ATOMIC_POSITIONS crystal
Ag 0.559 0.683 0.581
Ag 0.112 0.037 0.192
Ag 0.441 0.317 0.419
Ag 0.888 0.963 0.808
Ag 0.941 0.683 0.081
Ag 0.175 0.653 0.703
Ag 0.388 0.037 0.692
Ag 0.059 0.317 0.919
Ag 0.612 0.963 0.308
Ag 0.325 0.653 0.203
Ag 0.825 0.347 0.297
Ag 0.675 0.347 0.797
S 0.439 0.209 0.931
S 0.427 0.262 0.219
S 0.401 0.730 0.412
S 0.599 0.270 0.588
S 0.073 0.262 0.719
S 0.099 0.730 0.912
S 0.939 0.791 0.569
S 0.561 0.791 0.069
S 0.901 0.270 0.088
S 0.573 0.738 0.781
S 0.927 0.738 0.281
S 0.061 0.209 0.431
Al 0.593 0.143 0.080
Al 0.907 0.143 0.580
Al 0.093 0.857 0.420
Al 0.407 0.857 0.920
CELL_PARAMETERS angstrom
6.726 0.000 0.000
0.000 6.514 -0.364
0.000 0.295 13.326
```

---

This record from the Alexandria database describes Tb6Sn3H after structural relaxation. The functional is GGA-PBE. Values from VASP.

crystal system = orthorhombic
mass density = 8.14 g/cm³
total DFT energy (no corrections) = -96.1 eV/cell

Structure (Quantum ESPRESSO input):
```
&SYSTEM
  ibrav = 0, nat = 20, ntyp = 3
/
ATOMIC_SPECIES
Tb 158.93 Tb.upf
Sn 118.71 Sn.upf
H 1.01 H.upf
ATOMIC_POSITIONS crystal
Tb 0.516 0.906 0.094
Tb 0.151 0.328 0.230
Tb 0.221 0.466 0.886
Tb 0.721 0.886 0.466
Tb 0.651 0.230 0.328
Tb 0.151 0.770 0.672
Tb 0.221 0.114 0.534
Tb 0.651 0.672 0.770
Tb 0.742 0.302 0.698
Tb 0.016 0.094 0.906
Tb 0.242 0.698 0.302
Tb 0.721 0.534 0.114
Sn 0.370 0.468 0.532
Sn 0.870 0.532 0.468
Sn 0.015 0.005 0.234
Sn 0.515 0.234 0.005
Sn 0.515 0.995 0.766
Sn 0.015 0.766 0.995
H 0.583 0.747 0.253
H 0.083 0.253 0.747
CELL_PARAMETERS angstrom
6.239 0.000 0.000
0.000 9.308 0.314
0.000 -1.771 9.143
```

---

This record from the Alexandria database describes CaZnRu2 after structural relaxation. The functional is GGA-PBE. Values from VASP.

crystal system = monoclinic
mass density = 7.52 g/cm³
energy relative to the elements = 0.193 eV per atom

Structure (Quantum ESPRESSO input):
```
&SYSTEM
  ibrav = 0, nat = 4, ntyp = 3
/
ATOMIC_SPECIES
Ca 40.08 Ca.upf
Zn 65.41 Zn.upf
Ru 101.07 Ru.upf
ATOMIC_POSITIONS crystal
Ca 0.500 0.710 0.723
Zn 0.000 0.323 0.487
Ru 0.000 0.024 0.072
Ru 0.500 0.444 0.219
CELL_PARAMETERS angstrom
-0.717 1.033 4.137
0.594 -2.753 0.790
5.466 -0.040 0.957
```

---

This record from the Alexandria database describes CeDy5Tl8 after structural relaxation. The functional is GGA-PBE. Values from VASP.

crystal system = tetragonal
mass density = 10.61 g/cm³
energy relative to the elements = -0.219 eV per atom

Structure (Quantum ESPRESSO input):
```
&SYSTEM
  ibrav = 0, nat = 14, ntyp = 3
/
ATOMIC_SPECIES
Tl 204.38 Tl.upf
Dy 162.50 Dy.upf
Ce 140.12 Ce.upf
ATOMIC_POSITIONS crystal
Tl 0.636 0.416 0.886
Tl 0.953 0.078 0.708
Tl 0.125 0.755 0.047
Tl 0.781 0.251 0.364
Tl 0.292 0.245 0.370
Tl 0.470 0.584 0.219
Tl 0.114 0.749 0.530
Tl 0.630 0.922 0.875
Dy 0.365 0.116 0.987
Dy 0.871 0.884 0.249
Dy 0.013 0.378 0.129
Dy 0.500 0.000 0.500
Dy 0.751 0.622 0.635
Ce 0.250 0.500 0.750
CELL_PARAMETERS angstrom
8.073 -0.014 0.023
-2.744 7.592 -0.023
-2.584 -3.845 6.611
```

---

Which value of mass density does entry 4 give?
8.14 g/cm³

---

The lowest mass density belongs to which entry?
CaYSi2